1.
Computed, not measured: crystalline BaZrAl at its relaxed geometry at the PBE level of DFT.

Cell lengths 5.187, 5.187, 5.187 Å; angles 60.00, 60.00, 60.00 degrees
Element x y z (fractional)
Ba 0.000 0.000 0.000
Zr 0.750 0.750 0.750
Al 0.250 0.250 0.250

Energy above the most stable polymorph in this dataset (eV/atom): 1.1312



2.
Computed, not measured: crystalline ThCoAs3 at its relaxed geometry at the PBE level of DFT.

Cell lengths 12.136, 5.727, 5.606 Å; angles 90.00, 90.00, 90.00 degrees
Element x y z (fractional)
Th 0.198 0.002 0.250
Th 0.198 0.498 0.750
Th 0.802 0.502 0.250
Th 0.802 0.998 0.750
Co 0.415 0.750 0.000
Co 0.415 0.750 0.500
Co 0.585 0.250 0.000
Co 0.585 0.250 0.500
As 0.001 0.750 0.000
As 0.001 0.750 0.500
As 0.285 0.504 0.250
As 0.285 0.996 0.750
As 0.446 0.095 0.250
As 0.446 0.405 0.750
As 0.554 0.595 0.250
As 0.554 0.905 0.750
As 0.715 0.004 0.250
As 0.715 0.496 0.750
As 0.999 0.250 0.000
As 0.999 0.250 0.500



no.,V (Å³/cell),energy of formation from the pure elements (eV per atom)
1,98.7,1.26
2,389.7,-0.70